(1)
{"formula": "Nb3InGa", "functional": "GGA-PBE", "state": "optimized geometry", "lattice_angstrom": [[4.7765, 0.0000, 0.0000], [0.0000, 4.7765, 0.0000], [0.0000, 0.0000, 4.7765]], "species": ["Nb", "Nb", "Nb", "In", "Ga"], "fractional_positions": [[0.0000, 0.0000, 0.5000], [0.0000, 0.5000, 0.0000], [0.5000, 0.0000, 0.0000], [0.5000, 0.5000, 0.5000], [0.0000, 0.0000, 0.0000]], "dft_energy_ev_per_atom": -6.38, "magmom_total_mub_per_cell": 0.0, "n_ef_per_ev_cell": 8.83, "e_form_mev_per_atom": 812}



(2)
{"formula": "LiTa2IN", "functional": "GGA-PBE", "state": "optimized geometry", "lattice_angstrom": [[4.0825, 0.0000, 0.0000], [0.0000, 4.0825, 0.0000], [0.0000, 0.0000, 6.7657]], "species": ["Li", "Ta", "Ta", "I", "N"], "fractional_positions": [[0.0000, 0.0000, 0.0000], [0.0000, 0.5000, 0.5000], [0.5000, 0.0000, 0.5000], [0.5000, 0.5000, 0.0000], [0.5000, 0.5000, 0.5000]], "raw_formation_energy_mev_per_atom": 173, "dft_energy_ev_per_atom": -6.93, "magmom_total_mub_per_cell": 0.4, "n_ef_per_ev_cell": 4.57}



(3)
{"formula": "Tb6Pr12Dy", "functional": "GGA-PBE", "state": "optimized geometry", "lattice_angstrom": [[7.4858, 4.3220, 3.5177], [-7.4858, 4.3220, 3.5177], [0.0000, -8.6439, 3.5177]], "species": ["Tb", "Tb", "Tb", "Tb", "Tb", "Tb", "Pr", "Pr", "Pr", "Pr", "Pr", "Pr", "Pr", "Pr", "Pr", "Pr", "Pr", "Pr", "Dy"], "fractional_positions": [[0.0493, 0.3081, 0.4191], [0.3081, 0.4191, 0.0493], [0.4191, 0.0493, 0.3081], [0.5809, 0.9507, 0.6919], [0.6919, 0.5809, 0.9507], [0.9507, 0.6919, 0.5809], [0.0143, 0.9165, 0.3080], [0.0835, 0.6920, 0.9857], [0.2214, 0.6756, 0.3722], [0.3080, 0.0143, 0.9165], [0.3244, 0.6278, 0.7786], [0.3722, 0.2214, 0.6756], [0.6278, 0.7786, 0.3244], [0.6756, 0.3722, 0.2214], [0.6920, 0.9857, 0.0835], [0.7786, 0.3244, 0.6278], [0.9165, 0.3080, 0.0143], [0.9857, 0.0835, 0.6920], [0.5000, 0.5000, 0.5000]], "dft_energy_ev_per_atom": -4.49, "magmom_total_mub_per_cell": 0.0, "n_ef_per_ev_cell": 30.10, "e_form_mev_per_atom": 230}



(4)
{"formula": "NpAu3", "functional": "GGA-PBE", "state": "optimized geometry", "lattice_angstrom": [[2.8982, 0.0000, 0.0000], [0.0000, 5.0847, 0.0000], [0.0000, 0.0000, 5.5235]], "species": ["Np", "Au", "Au", "Au"], "fractional_positions": [[0.0000, 0.0000, 0.0000], [0.0000, 0.5000, 0.3150], [0.5000, 0.0000, 0.5005], [0.5000, 0.5000, 0.7916]], "dft_energy_ev_per_atom": -5.73, "magmom_total_mub_per_cell": 4.7, "n_ef_per_ev_cell": 5.06, "e_form_mev_per_atom": -38}



(5)
{"formula": "Li2Ac3Cd2", "functional": "GGA-PBE", "state": "optimized geometry", "lattice_angstrom": [[2.8483, 1.6445, 9.1144], [-2.8483, 1.6445, 9.1144], [0.0000, -3.2889, 9.1144]], "species": ["Li", "Li", "Ac", "Ac", "Ac", "Cd", "Cd"], "fractional_positions": [[0.1267, 0.1267, 0.1267], [0.8733, 0.8733, 0.8733], [0.0000, 0.0000, 0.0000], [0.2549, 0.2549, 0.2549], [0.7451, 0.7451, 0.7451], [0.3862, 0.3862, 0.3862], [0.6138, 0.6138, 0.6138]], "dft_energy_ev_per_atom": -2.47, "magmom_total_mub_per_cell": 0.0, "n_ef_per_ev_cell": 9.35, "e_form_mev_per_atom": 103}



(6)
{"formula": "TaBeCd4", "functional": "GGA-PBE", "state": "optimized geometry", "lattice_angstrom": [[0.0000, 3.9295, 3.9295], [3.9295, 0.0000, 3.9295], [3.9295, 3.9295, 0.0000]], "species": ["Ta", "Be", "Cd", "Cd", "Cd", "Cd"], "fractional_positions": [[0.0000, 0.0000, 0.0000], [0.7500, 0.7500, 0.7500], [0.3748, 0.3748, 0.3748], [0.3748, 0.3748, 0.8758], [0.3748, 0.8758, 0.3748], [0.8758, 0.3748, 0.3748]], "dft_energy_ev_per_atom": -2.36, "magmom_total_mub_per_cell": 1.9, "n_ef_per_ev_cell": 5.51, "e_form_mev_per_atom": 845}



(7)
{"formula": "Ba2Be2RuO6", "functional": "GGA-PBE", "state": "optimized geometry", "lattice_angstrom": [[2.7584, 1.5926, 5.4379], [-2.7584, 1.5926, 5.4379], [0.0000, -3.1851, 5.4379]], "species": ["Ba", "Ba", "Be", "Be", "Ru", "O", "O", "O", "O", "O", "O"], "fractional_positions": [[0.2236, 0.2236, 0.2236], [0.7764, 0.7764, 0.7764], [0.4085, 0.4085, 0.4085], [0.5915, 0.5915, 0.5915], [0.0000, 0.0000, 0.0000], [0.2459, 0.2459, 0.7325], [0.2459, 0.7325, 0.2459], [0.2675, 0.7541, 0.7541], [0.7325, 0.2459, 0.2459], [0.7541, 0.2675, 0.7541], [0.7541, 0.7541, 0.2675]], "raw_formation_energy_mev_per_atom": -2179, "dft_energy_ev_per_atom": -6.75, "magmom_total_mub_per_cell": 2.0, "n_ef_per_ev_cell": 3.69}



(8)
{"formula": "AlIN3", "functional": "GGA-PBE", "state": "optimized geometry", "lattice_angstrom": [[3.9413, 0.0000, 0.0000], [0.0000, 3.9413, 0.0000], [0.0000, 0.0000, 3.9413]], "species": ["Al", "I", "N", "N", "N"], "fractional_positions": [[0.0000, 0.0000, 0.0000], [0.5000, 0.5000, 0.5000], [0.0000, 0.5000, 0.5000], [0.5000, 0.0000, 0.5000], [0.5000, 0.5000, 0.0000]], "raw_formation_energy_mev_per_atom": 2045, "dft_energy_ev_per_atom": -4.01, "magmom_total_mub_per_cell": 0.0, "n_ef_per_ev_cell": 2.04}